[1]
Density functional theory data (PBE) for a geometry-optimized Tl2Cd2Cu structure.

a = 7.1774 Å, b = 7.1774 Å, c = 5.0898 Å
α = 90.00°, β = 90.00°, γ = 90.00°
Fractional positions:
Tl (0.3334, 0.8334, 0.0000)
Tl (0.8334, 0.6666, 0.0000)
Tl (0.6666, 0.1666, 0.0000)
Tl (0.1666, 0.3334, 0.0000)
Cu (0.0000, 0.0000, 0.0000)
Cu (0.5000, 0.5000, 0.0000)
Cd (0.1526, 0.6526, 0.5000)
Cd (0.6526, 0.8474, 0.5000)
Cd (0.8474, 0.3474, 0.5000)
Cd (0.3474, 0.1526, 0.5000)

Calculated values
Total magnetic moment (μB/cell): 0.00
SG: P4/mbm
Polymorph energy (0 for the lowest one) (meV per atom): 71

---

[2]
Density functional theory data (PBE) for a geometry-optimized TlCdCu2 structure.

a = 3.4560 Å, b = 3.2932 Å, c = 7.1718 Å
α = 61.82°, β = 90.00°, γ = 90.00°
Fractional positions:
Cd (0.5000, 0.7500, 0.7500)
Cu (0.0000, 0.0233, 0.9717)
Cu (0.0000, 0.4767, 0.5283)
Tl (0.5000, 0.2500, 0.2500)

Calculated values
Total magnetic moment (μB/cell): 0.00
SG: P2/m

---

[3]
Density functional theory data (PBE) for a geometry-optimized TlZnCd2Cu structure.

a = 5.0864 Å, b = 5.0864 Å, c = 4.7304 Å
α = 90.00°, β = 90.00°, γ = 90.00°
Fractional positions:
Tl (0.5000, 0.5000, 0.5000)
Zn (0.0000, 0.0000, 0.5000)
Cu (0.0000, 0.0000, 0.0000)
Cd (0.0000, 0.5000, 0.0000)
Cd (0.5000, 0.0000, 0.0000)

Calculated values
Total magnetic moment (μB/cell): 0.00
SG: P4/mmm

---

[4]
Density functional theory data (PBE) for a geometry-optimized Tm7Cd2Cu2 structure.

a = 6.7320 Å, b = 6.9955 Å, c = 6.7320 Å
α = 90.00°, β = 109.21°, γ = 90.00°
Fractional positions:
Tm (0.9998, 0.2559, 0.5003)
Tm (0.5003, 0.7441, 0.9998)
Tm (0.0002, 0.7441, 0.4997)
Tm (0.4997, 0.2559, 0.0002)
Tm (0.0000, 0.0000, 0.0000)
Tm (0.5002, 0.7564, 0.4998)
Tm (0.4998, 0.2436, 0.5002)
Cd (0.8242, 0.5000, 0.8242)
Cd (0.1758, 0.5000, 0.1758)
Cu (0.7021, 0.0000, 0.2979)
Cu (0.2979, 0.0000, 0.7021)

Calculated values
Total magnetic moment (μB/cell): 0.00
SG: Cmmm

---

[5]
Density functional theory data (PBE) for a geometry-optimized Tm4Cd5Cu2 structure.

a = 3.5000 Å, b = 7.5977 Å, c = 9.5440 Å
α = 93.77°, β = 90.00°, γ = 90.00°
Fractional positions:
Tm (0.5000, 0.7689, 0.5552)
Tm (0.5000, 0.1667, 0.8562)
Tm (0.5000, 0.2311, 0.4448)
Tm (0.5000, 0.8333, 0.1438)
Cd (0.0000, 0.5519, 0.3160)
Cd (0.0000, 0.1821, 0.1532)
Cd (0.0000, 0.5000, 0.0000)
Cd (0.0000, 0.8179, 0.8468)
Cd (0.0000, 0.4481, 0.6840)
Cu (0.0000, 0.0610, 0.6299)
Cu (0.0000, 0.9390, 0.3701)

Calculated values
Total magnetic moment (μB/cell): 0.00
SG: P2/m

---

[6]
Density functional theory data (PBE) for a geometry-optimized TmCd11Cu structure.

a = 5.8105 Å, b = 7.5291 Å, c = 7.6018 Å
α = 81.65°, β = 67.53°, γ = 67.66°
Fractional positions:
Tm (0.0000, 0.0000, 0.0000)
Cd (0.3047, 0.2165, 0.2065)
Cd (0.6953, 0.7835, 0.7935)
Cd (0.4888, 0.7835, 0.2065)
Cd (0.5112, 0.2165, 0.7935)
Cd (0.3562, 0.6447, 0.6604)
Cd (0.6438, 0.3553, 0.3396)
Cd (0.9834, 0.3553, 0.6604)
Cd (0.0166, 0.6447, 0.3396)
Cd (0.0000, 0.5000, 0.0000)
Cd (0.5000, 0.0000, 0.5000)
Cd (0.0000, 0.0000, 0.5000)
Cu (0.5000, 0.5000, 0.0000)

Calculated values
Total magnetic moment (μB/cell): 0.00
SG: C2/m

---

[7]
Density functional theory data (PBE) for a geometry-optimized TmCd2Cu structure.

a = 3.3202 Å, b = 3.3202 Å, c = 7.4658 Å
α = 90.00°, β = 90.00°, γ = 90.00°
Fractional positions:
Tm (0.5000, 0.5000, 0.5000)
Cu (0.5000, 0.5000, 0.0000)
Cd (0.0000, 0.0000, 0.7941)
Cd (0.0000, 0.0000, 0.2059)

Calculated values
Total magnetic moment (μB/cell): 0.11
SG: P4/mmm

---

[8]
Density functional theory data (PBE) for a geometry-optimized Tm8Cd2Cu structure.

a = 5.1954 Å, b = 6.7873 Å, c = 9.1546 Å
α = 106.86°, β = 106.48°, γ = 90.00°
Fractional positions:
Tm (0.4083, 0.5589, 0.8166)
Tm (0.6549, 0.9609, 0.3098)
Tm (0.8011, 0.7052, 0.6023)
Tm (0.9787, 0.2213, 0.9574)
Tm (0.1989, 0.2948, 0.3977)
Tm (0.3451, 0.0391, 0.6902)
Tm (0.5917, 0.4411, 0.1834)
Tm (0.0213, 0.7787, 0.0426)
Cd (0.8148, 0.2814, 0.6295)
Cd (0.1852, 0.7186, 0.3705)
Cu (0.5000, 0.0000, 0.0000)

Calculated values
Total magnetic moment (μB/cell): 0.00
SG: C2/m

---

| no. | energy of formation from the pure elements (meV per atom) |
| --- | --- |
| 1 | 261.6 |
| 2 | 211.8 |
| 3 | 156.9 |
| 4 | -14.9 |
| 5 | -269.0 |
| 6 | -44.8 |
| 7 | -103.8 |
| 8 | -103.1 |